# 1
Entry from OQMD: a relaxed TbGa3Pt crystal (PBE-GGA).

Lattice parameters (Å, degrees): 6.1456 6.1456 6.1456 139.72 139.72 58.28
Atoms (fractional coordinates):
Tb 0.0000 0.0000 0.0000
Ga 0.2379 0.7379 0.5000
Ga 0.5891 0.5891 0.0000
Ga 0.7379 0.2379 0.5000
Pt 0.3628 0.3628 0.0000

## Properties
E_tot   -23.5 eV for the cell shown

***

# 2
Entry from OQMD: a relaxed CdIn2TeSe3 crystal (PBE-GGA).

Lattice parameters (Å, degrees): 6.0846 6.1220 7.2804 113.18 113.49 91.41
Atoms (fractional coordinates):
Cd 0.0000 0.0000 0.0000
In 0.5126 0.4889 0.0008
In 0.7700 0.2582 0.5108
Te 0.3735 0.8546 0.2897
Se 0.1437 0.1058 0.7326
Se 0.6096 0.6204 0.7317
Se 0.9073 0.4002 0.2665

## Properties
E_tot   -23.7 eV for the cell shown

***

# 3
Entry from OQMD: a relaxed MgCuPbW crystal (PBE-GGA).

Lattice parameters (Å, degrees): 4.7038 4.7038 4.7038 60.00 60.00 60.00
Atoms (fractional coordinates):
Mg 0.0000 0.0000 0.0000
Cu 0.5000 0.5000 0.5000
Pb 0.2500 0.2500 0.2500
W 0.7500 0.7500 0.7500

## Properties
E above lowest polymorph   85 meV per atom

***

# 4
Entry from OQMD: a relaxed NdSmPt2 crystal (PBE-GGA).

Lattice parameters (Å, degrees): 4.5695 5.7322 5.7322 39.44 90.00 90.00
Atoms (fractional coordinates):
Nd 0.0000 0.0000 0.0000
Sm 0.5000 0.2753 0.2753
Pt 0.0000 0.7262 0.7262
Pt 0.5000 0.5508 0.5508

## Properties
Formation energy from the elements   -1.1664 eV/atom

***

# 5
Entry from OQMD: a relaxed LuBeSb crystal (PBE-GGA).

Lattice parameters (Å, degrees): 4.4402 4.4402 4.4402 60.00 60.00 60.00
Atoms (fractional coordinates):
Lu 0.0000 0.0000 0.0000
Be 0.2500 0.2500 0.2500
Sb 0.5000 0.5000 0.5000

## Properties
E above lowest polymorph   0 meV per atom

***

# 6
Entry from OQMD: a relaxed TmMgCuTeS2 crystal (PBE-GGA).

Lattice parameters (Å, degrees): 6.7994 6.7994 10.6721 90.00 90.00 147.71
Atoms (fractional coordinates):
Tm 0.0000 0.0000 0.0000
Tm 0.0000 0.0000 0.5000
Mg 0.1959 0.8041 0.7500
Mg 0.8041 0.1959 0.2500
Cu 0.4811 0.5189 0.2500
Cu 0.5189 0.4811 0.7500
Te 0.1205 0.8795 0.2500
Te 0.8795 0.1205 0.7500
S 0.3690 0.6310 0.0836
S 0.3690 0.6310 0.4164
S 0.6310 0.3690 0.5836
S 0.6310 0.3690 0.9164

## Properties
E_tot   -55.7 eV for the cell shown